A relaxed structure of RbCd3Pt2. Source: the Alexandria database, functional PBE-GGA.

abc: 7.3284 7.3284 5.8498
angles: 90.00 90.00 75.75
Closest atoms and distances in Å follow each position.
Atoms (fractional coordinates):
Rb 0.1412 0.8588 0.7500  7 Cd 3.55-3.89, 2 Rb 3.87, 4 Pt 3.96
Rb 0.8588 0.1412 0.2500  7 Cd 3.55-3.89, 2 Rb 3.87, 4 Pt 3.96
Cd 0.0244 0.5568 0.2500  4 Pt 2.76-2.81, 2 Cd 3.09
Cd 0.4432 0.9756 0.2500  4 Pt 2.76-2.81, 2 Cd 3.09
Cd 0.4493 0.5507 0.2500  4 Pt 2.79, 4 Cd 3.06-3.10
Cd 0.5507 0.4493 0.7500  4 Pt 2.79, 4 Cd 3.06-3.10
Cd 0.5568 0.0244 0.7500  4 Pt 2.76-2.81, 2 Cd 3.09
Cd 0.9756 0.4432 0.7500  4 Pt 2.76-2.81, 2 Cd 3.09
Pt 0.2984 0.2984 0.0000  6 Cd 2.76-2.81, 2 Pt 2.92
Pt 0.2984 0.2984 0.5000  6 Cd 2.76-2.81, 2 Pt 2.92
Pt 0.7016 0.7016 0.0000  6 Cd 2.76-2.81, 2 Pt 2.92
Pt 0.7016 0.7016 0.5000  6 Cd 2.76-2.81, 2 Pt 2.92

Results
Symmetry: Cmcm
Volume, Å³/atom: 25.38

=====

A relaxed structure of Rb4Cd5Pt2. Source: the Alexandria database, functional PBE-GGA.

abc: 7.6970 5.5056 9.0960
angles: 90.00 90.98 90.00
Closest atoms and distances in Å follow each position.
Atoms (fractional coordinates):
Rb 0.2092 0.0000 0.1509  2 Pt 3.59, 8 Cd 3.63-3.88
Rb 0.2290 0.0000 0.6021  4 Pt 3.55-3.70, 6 Cd 3.76-3.92, 1 Rb 3.96
Rb 0.7710 0.0000 0.3979  4 Pt 3.55-3.70, 6 Cd 3.76-3.92, 1 Rb 3.96
Rb 0.7908 0.0000 0.8491  2 Pt 3.59, 8 Cd 3.63-3.88
Cd 0.1459 0.5000 0.8731  1 Pt 2.68, 1 Cd 2.94
Cd 0.4117 0.5000 0.3504  1 Pt 2.72, 1 Cd 3.02
Cd 0.5000 0.5000 0.0000  4 Cd 2.94-3.27
Cd 0.5883 0.5000 0.6496  1 Pt 2.72, 1 Cd 3.02
Cd 0.8541 0.5000 0.1269  1 Pt 2.68, 1 Cd 2.94
Pt 0.0594 0.5000 0.3683  1 Pt 2.58, 2 Cd 2.68-2.72
Pt 0.9406 0.5000 0.6317  1 Pt 2.58, 2 Cd 2.68-2.72

Results
Symmetry: P2/m
Volume, Å³/atom: 35.04

=====

A relaxed structure of Rb3CdPt. Source: the Alexandria database, functional PBE-GGA.

abc: 6.4654 6.4654 6.4654
angles: 90.00 90.00 90.00
Closest atoms and distances in Å follow each position.
Atoms (fractional coordinates):
Rb 0.0000 0.0000 0.5000  2 Pt 3.23
Rb 0.0000 0.5000 0.0000  2 Pt 3.23
Rb 0.5000 0.0000 0.0000  2 Pt 3.23
Cd 0.5000 0.5000 0.5000  12 Rb 4.57
Pt 0.0000 0.0000 0.0000  6 Rb 3.23

Results
Symmetry: Pm-3m
Volume, Å³/atom: 54.05
Energy above the lowest structure with this stoichiometry, eV per atom: 0.000

=====

Sequential DFT total energy output: -2.93, -1.93, -1.84 eV per atom
Sequential E_form output: -0.30, -0.06, 0.13 eV per atom
Sequential magnetic moment output: 0.0, 0.0, 1.0 μB/f.u.